Record 1
# K3In2As3

An optimized crystal structure of K3In2As3 (GGA-PBEsol, Alexandria via LeMat-Bulk).

Calculated formation energy   -3.412 eV per formula unit

The structure in POSCAR format:
```
K3In2As3
1.0
6.7511 0.0000 0.0000
-3.3756 9.8548 0.0000
0.0000 0.0000 14.7478
As In K
12 8 12
Cartesian
5.6541 0.0000 1.7714 As
4.4726 0.0000 9.1453 As
2.2785 0.0000 5.6025 As
1.0970 0.0000 12.9764 As
1.5243 3.4260 1.4590 As
-1.5243 6.4288 8.8329 As
1.5243 6.4288 5.9149 As
5.2268 3.4260 13.2888 As
1.8513 6.4288 13.2888 As
4.8999 3.4260 5.9149 As
1.8513 3.4260 8.8329 As
-1.8513 6.4288 1.4590 As
3.3756 1.6444 7.3739 In
3.3756 8.2105 0.0000 In
0.0000 8.2105 7.3739 In
0.0000 1.6444 0.0000 In
3.3756 5.1422 7.3739 In
3.3756 4.7127 0.0000 In
0.0000 4.7127 7.3739 In
0.0000 5.1422 0.0000 In
2.3476 0.0000 2.0405 K
1.0280 0.0000 9.4144 K
5.7232 0.0000 5.3334 K
4.4035 0.0000 12.7073 K
1.5533 6.7499 2.5827 K
5.1978 3.1050 9.9566 K
1.5533 3.1050 4.7912 K
-1.5533 6.7499 12.1651 K
1.8222 3.1050 12.1651 K
-1.8222 6.7499 4.7912 K
1.8222 6.7499 9.9566 K
4.9289 3.1050 2.5827 K
```

Record 2
# La2InOs

An optimized crystal structure of La2InOs (GGA-PBEsol, Alexandria via LeMat-Bulk).

Calculated formation energy   -0.211 eV per formula unit

The structure in POSCAR format:
```
La2InOs
1.0
5.0206 0.0000 0.0000
2.5103 4.3480 0.0000
2.5103 1.4493 4.0993
In La Os
1 2 1
Cartesian
5.0206 2.8986 2.0496 In
0.0000 0.0000 0.0000 La
7.5309 4.3480 3.0745 La
2.5103 1.4493 1.0248 Os
```

Record 3
# YNbAs2Ru

An optimized crystal structure of YNbAs2Ru (GGA-PBEsol, Alexandria via LeMat-Bulk).

Calculated formation energy   5.112 eV per formula unit

The structure in POSCAR format:
```
YNbAs2Ru
1.0
4.8389 0.0000 0.0000
0.0000 4.8389 0.0000
0.0000 0.0000 5.2429
Y Ru Nb As
1 1 1 2
Cartesian
0.0000 0.0000 2.6214 Y
2.4195 2.4195 2.6214 Ru
0.0000 0.0000 0.0000 Nb
0.0000 2.4195 0.0000 As
2.4195 0.0000 0.0000 As
```

Record 4
# Ba2CaSi

An optimized crystal structure of Ba2CaSi (GGA-PBEsol, Alexandria via LeMat-Bulk).

Polymorph energy (0 for the lowest one)   0 meV/atom
Raw formation energy   -0.69 kcal/mol of atoms

The structure in POSCAR format:
```
Ba2CaSi
1.0
4.6678 0.0000 0.0000
0.0000 5.2840 0.0000
-2.3339 -2.6420 5.6179
Ba Ca Si
2 1 1
Cartesian
2.3339 2.6420 2.4107 Ba
0.0000 0.0000 3.2072 Ba
2.3339 0.0000 0.0000 Ca
0.0000 2.6420 0.0000 Si
```

no.,VASP energy (eV/atom)
1,-3.5121
2,-6.5256
3,-6.5833
4,-3.0742